[1]
This record from Alexandria via LeMat-Bulk describes an optimized crystal structure of Tm8TlPd2. The functional is PBE.

Cell: 5.3931 7.9836 7.9836 Å, 114.61 98.68 98.68°
Closest atoms and distances in Å follow each position.
Positions (direct):
Tm (0.9165, 0.9170, 0.6678)  2 Pd 2.85-2.96
Tm (0.9165, 0.6678, 0.9170)  2 Pd 2.85-2.96
Tm (0.3069, 0.6076, 0.6076)  2 Pd 3.12, 4 Tm 3.15-3.41, 1 Tl 3.25
Tm (0.5000, 0.7597, 0.2403)  2 Pd 2.83
Tm (0.5000, 0.2403, 0.7597)  2 Pd 2.83
Tm (0.6931, 0.3924, 0.3924)  2 Pd 3.12, 4 Tm 3.15-3.41, 1 Tl 3.25
Tm (0.0835, 0.3322, 0.0830)  2 Pd 2.85-2.96
Tm (0.0835, 0.0830, 0.3322)  2 Pd 2.85-2.96
Tl (0.5000, 0.0000, 0.0000)  8 Tm 3.23-3.57
Pd (0.0000, 0.3035, 0.6965)  8 Tm 2.83-3.12
Pd (0.0000, 0.6965, 0.3035)  8 Tm 2.83-3.12

Properties
E_form in eV/atom: -0.321
Final energy in Ry/atom: -0.3478

[2]
This record from Alexandria via LeMat-Bulk describes an optimized crystal structure of Tm4TlPd2. The functional is PBE.

Cell: 4.7034 4.7034 10.0292 Å, 76.44 76.44 60.00°
Closest atoms and distances in Å follow each position.
Positions (direct):
Tm (0.7023, 0.7023, 0.8932)  4 Pd 2.85-2.93
Tm (0.8849, 0.8849, 0.3453)  3 Pd 3.07, 3 Tl 3.10
Tm (0.2977, 0.2977, 0.1068)  4 Pd 2.85-2.93
Tm (0.1151, 0.1151, 0.6547)  3 Pd 3.07, 3 Tl 3.10
Tl (0.5000, 0.5000, 0.5000)  2 Pd 2.93, 6 Tm 3.10
Pd (0.6012, 0.6012, 0.1965)  7 Tm 2.85-3.07, 1 Tl 2.93
Pd (0.3988, 0.3988, 0.8035)  7 Tm 2.85-3.07, 1 Tl 2.93

Properties
E_form in eV/atom: -0.476
Final energy in Ry/atom: -0.3567

[3]
This record from Alexandria via LeMat-Bulk describes an optimized crystal structure of Tm3TlPd12. The functional is PBE.

Cell: 4.0960 4.0960 16.3517 Å, 90.00 90.00 90.00°
Closest atoms and distances in Å follow each position.
Positions (direct):
Tm (0.0000, 0.0000, 0.2494)  12 Pd 2.88-2.90
Tm (0.0000, 0.0000, 0.5000)  12 Pd 2.89-2.90
Tm (0.0000, 0.0000, 0.7506)  12 Pd 2.88-2.90
Tl (0.0000, 0.0000, 0.0000)  12 Pd 2.90
Pd (0.5000, 0.5000, 0.0000)  4 Tl 2.90, 8 Pd 2.90
Pd (0.5000, 0.5000, 0.2501)  8 Pd 2.89, 4 Tm 2.90
Pd (0.5000, 0.5000, 0.5000)  8 Pd 2.89, 4 Tm 2.90
Pd (0.5000, 0.5000, 0.7499)  8 Pd 2.89, 4 Tm 2.90
Pd (0.5000, 0.0000, 0.1255)  2 Tm 2.88, 8 Pd 2.89-2.90, 2 Tl 2.90
Pd (0.5000, 0.0000, 0.3751)  4 Tm 2.89-2.90, 8 Pd 2.89-2.90
Pd (0.5000, 0.0000, 0.6249)  4 Tm 2.89-2.90, 8 Pd 2.89-2.90
Pd (0.5000, 0.0000, 0.8745)  2 Tm 2.88, 8 Pd 2.89-2.90, 2 Tl 2.90
Pd (0.0000, 0.5000, 0.1255)  2 Tm 2.88, 8 Pd 2.89-2.90, 2 Tl 2.90
Pd (0.0000, 0.5000, 0.3751)  8 Pd 2.89-2.90, 4 Tm 2.89-2.90
Pd (0.0000, 0.5000, 0.6249)  4 Tm 2.89-2.90, 8 Pd 2.89-2.90
Pd (0.0000, 0.5000, 0.8745)  2 Tm 2.88, 8 Pd 2.89-2.90, 2 Tl 2.90

Properties
E_form in eV/atom: -0.736
Final energy in Ry/atom: -0.4128

[4]
This record from Alexandria via LeMat-Bulk describes an optimized crystal structure of Tm12Tl6Pd. The functional is PBE.

Cell: 8.6205 8.6205 8.6205 Å, 99.50 99.50 99.50°
Closest atoms and distances in Å follow each position.
Positions (direct):
Tm (0.8159, 0.5671, 0.4304)  4 Tl 3.01-3.16
Tm (0.4304, 0.8159, 0.5671)  4 Tl 3.01-3.16
Tm (0.5671, 0.4304, 0.8159)  4 Tl 3.01-3.16
Tm (0.1841, 0.4329, 0.5696)  4 Tl 3.01-3.16
Tm (0.5696, 0.1841, 0.4329)  4 Tl 3.01-3.16
Tm (0.4329, 0.5696, 0.1841)  4 Tl 3.01-3.16
Tm (0.0641, 0.9620, 0.3135)  1 Pd 2.75, 2 Tl 3.06
Tm (0.0380, 0.6865, 0.9359)  1 Pd 2.75, 2 Tl 3.06
Tm (0.6865, 0.9359, 0.0380)  1 Pd 2.75, 2 Tl 3.06
Tm (0.9359, 0.0380, 0.6865)  1 Pd 2.75, 2 Tl 3.06
Tm (0.9620, 0.3135, 0.0641)  1 Pd 2.75, 2 Tl 3.06
Tm (0.3135, 0.0641, 0.9620)  1 Pd 2.75, 2 Tl 3.06
Tl (0.6982, 0.8671, 0.3769)  7 Tm 3.01-3.28
Tl (0.6231, 0.3018, 0.1329)  7 Tm 3.01-3.28
Tl (0.1329, 0.6231, 0.3018)  7 Tm 3.01-3.28
Tl (0.3018, 0.1329, 0.6231)  7 Tm 3.01-3.28
Tl (0.3769, 0.6982, 0.8671)  7 Tm 3.01-3.28
Tl (0.8671, 0.3769, 0.6982)  7 Tm 3.01-3.28
Pd (0.0000, 0.0000, 0.0000)  6 Tm 2.75

Properties
E_form in eV/atom: -0.058
Final energy in Ry/atom: -0.2868